First-principles (PBE) data for a relaxed structure of Pm4GeS2O, as listed in Alexandria via LeMat-Bulk.

Summary:
E_form (uncorrected): -1451.5 kJ/mol of formula units
Energy: -6.485 eV/atom
Crystal system: orthorhombic

The structure in POSCAR format:
```
Pm4GeS2O
1.0
5.749 0.328 0.000
-0.298 5.750 0.000
-2.725 -3.039 5.621
S Pm Ge O
2 4 1 1
direct
0.690 0.190 0.500
0.190 0.690 0.500
0.433 0.986 0.000
0.679 0.679 0.481
0.986 0.433 0.000
0.198 0.198 0.519
0.934 0.934 0.000
0.386 0.386 0.000
```